A plane-wave DFT calculation with PBE was carried out for an optimized crystal structure of Pm4TmTl.

Calculated values
Energy of formation (meV per atom): -100

a b c (Å): 3.656 3.656 14.447
angles (deg): 90.00 90.00 90.00
Positions (direct):
Tm  0.000  0.000  0.000
Pm  0.000  0.000  0.350
Pm  0.500  0.500  0.828
Pm  0.000  0.000  0.650
Pm  0.500  0.500  0.172
Tl  0.500  0.500  0.500

=====

A plane-wave DFT calculation with PBE was carried out for an optimized crystal structure of PmTmTl6.

Calculated values
Energy of formation (meV per atom): -244

a b c (Å): 4.785 4.785 9.560
angles (deg): 90.00 90.00 90.00
Positions (direct):
Tl  0.500  0.000  0.746
Tl  0.000  0.500  0.746
Tl  0.000  0.500  0.254
Tl  0.500  0.500  0.000
Tm  0.000  0.000  0.500
Tl  0.500  0.500  0.500
Tl  0.500  0.000  0.254
Pm  0.000  0.000  0.000

=====

A plane-wave DFT calculation with PBE was carried out for an optimized crystal structure of Pm4Tm2Tl.

Calculated values
Energy of formation (meV per atom): -4

a b c (Å): 5.691 6.863 11.981
angles (deg): 90.00 105.25 90.00
Positions (direct):
Pm  0.976  0.750  0.859
Pm  0.191  0.750  0.410
Tm  0.426  0.250  0.978
Tm  0.221  0.250  0.438
Pm  0.376  0.987  0.706
Pm  0.024  0.250  0.141
Tl  0.131  0.750  0.138
Pm  0.809  0.250  0.590
Tl  0.869  0.250  0.862
Tm  0.574  0.750  0.022
Tm  0.779  0.750  0.562
Pm  0.624  0.013  0.294
Pm  0.376  0.513  0.706
Pm  0.624  0.487  0.294

=====

A plane-wave DFT calculation with PBE was carried out for an optimized crystal structure of Pm4Tm4Tl.

Calculated values
Energy of formation (meV per atom): -36

a b c (Å): 4.896 7.948 7.948
angles (deg): 84.56 72.06 72.06
Positions (direct):
Pm  0.662  0.675  0.000
Tm  0.000  0.338  0.662
Pm  0.662  0.000  0.675
Tm  0.000  0.662  0.338
Tl  0.000  0.000  0.000
Tm  0.662  0.338  0.338
Pm  0.338  0.000  0.325
Pm  0.338  0.325  0.000
Tm  0.338  0.662  0.662

=====

A plane-wave DFT calculation with PBE was carried out for an optimized crystal structure of PmTm2Tl4.

Calculated values
Energy of formation (meV per atom): -203

a b c (Å): 6.492 6.492 6.492
angles (deg): 112.02 108.21 108.21
Positions (direct):
Tm  0.500  0.000  0.500
Tm  0.500  0.500  0.000
Tl  0.500  0.000  0.000
Tl  0.000  0.500  0.000
Tl  0.000  0.000  0.500
Tl  0.500  0.500  0.500
Pm  0.000  0.000  0.000

=====

A plane-wave DFT calculation with PBE was carried out for an optimized crystal structure of Pm5Tm4Tl4.

Calculated values
Energy of formation (meV per atom): -248

a b c (Å): 5.020 9.227 9.227
angles (deg): 85.76 74.22 74.22
Positions (direct):
Pm  0.693  0.913  0.701
Tl  0.760  0.333  0.146
Tm  0.905  0.496  0.693
Tl  0.906  0.854  0.333
Tm  0.095  0.504  0.307
Pm  0.307  0.087  0.299
Tm  0.402  0.693  0.504
Tl  0.240  0.667  0.854
Tm  0.598  0.307  0.496
Pm  0.394  0.299  0.913
Pm  0.000  0.000  0.000
Tl  0.094  0.146  0.667
Pm  0.606  0.701  0.087

=====

A plane-wave DFT calculation with PBE was carried out for an optimized crystal structure of Pm3TmTl2.

Calculated values
Energy of formation (meV per atom): -267

a b c (Å): 5.199 6.815 10.233
angles (deg): 90.00 90.00 90.00
Positions (direct):
Tm  0.500  0.041  0.462
Tl  0.000  0.796  0.364
Pm  0.500  0.186  0.811
Tl  0.500  0.707  0.861
Pm  0.000  0.315  0.323
Tl  0.500  0.207  0.139
Tm  0.500  0.541  0.538
Pm  0.500  0.686  0.189
Pm  0.000  0.454  0.963
Tl  0.000  0.296  0.636
Pm  0.000  0.954  0.037
Pm  0.000  0.815  0.677

=====

A plane-wave DFT calculation with PBE was carried out for an optimized crystal structure of Pm3Tm8Tl.

Calculated values
Energy of formation (meV per atom): -40

a b c (Å): 8.289 8.294 8.294
angles (deg): 95.47 100.61 136.13
Positions (direct):
Tm  0.488  0.819  0.670
Pm  0.510  0.259  0.749
Tm  0.834  0.238  0.079
Tm  0.834  0.754  0.596
Tm  0.177  0.342  0.834
Tm  0.160  0.239  0.405
Tm  0.148  0.818  0.330
Tl  0.838  0.838  0.000
Pm  0.835  0.335  0.500
Tm  0.160  0.755  0.921
Tm  0.507  0.342  0.166
Pm  0.510  0.760  0.251

=====

A plane-wave DFT calculation with PBE was carried out for an optimized crystal structure of PmTm3Tl2.

Calculated values
Energy of formation (meV per atom): -164

a b c (Å): 5.362 9.212 9.232
angles (deg): 124.58 90.00 106.92
Positions (direct):
Tm  0.385  0.770  0.312
Tl  0.222  0.443  0.848
Tl  0.519  0.038  0.865
Tm  0.940  0.880  0.595
Pm  0.132  0.264  0.093
Tm  0.060  0.120  0.405
Pm  0.868  0.736  0.907
Tl  0.481  0.962  0.135
Tm  0.307  0.614  0.602
Tm  0.615  0.230  0.688
Tm  0.693  0.386  0.398
Tl  0.778  0.557  0.152

=====

A plane-wave DFT calculation with PBE was carried out for an optimized crystal structure of PmTm3Tl.

Calculated values
Energy of formation (meV per atom): -110

a b c (Å): 9.237 9.237 11.721
angles (deg): 107.34 107.34 37.75
Positions (direct):
Tm  0.774  0.643  0.748
Tl  0.000  0.500  0.500
Tm  0.202  0.694  0.485
Tm  0.790  0.019  0.253
Pm  0.385  0.912  0.490
Tm  0.798  0.306  0.515
Pm  0.615  0.088  0.510
Tl  0.591  0.409  0.750
Tl  0.500  0.000  0.000
Tm  0.306  0.798  0.015
Pm  0.912  0.385  0.990
Tm  0.357  0.226  0.752
Tm  0.019  0.790  0.753
Tm  0.643  0.774  0.248
Pm  0.088  0.615  0.010
Tm  0.694  0.202  0.985
Tm  0.210  0.981  0.747
Tl  0.409  0.591  0.250
Tm  0.981  0.210  0.247
Tm  0.226  0.357  0.252

=====

A plane-wave DFT calculation with PBE was carried out for an optimized crystal structure of Pm7Tm2Tl2.

Calculated values
Energy of formation (meV per atom): -27

a b c (Å): 3.669 11.469 11.469
angles (deg): 50.76 80.80 80.80
Positions (direct):
Pm  0.132  0.130  0.605
Pm  0.161  0.730  0.949
Pm  0.629  0.458  0.284
Tl  0.744  0.861  0.650
Pm  0.868  0.395  0.870
Tm  0.000  0.721  0.279
Tl  0.256  0.350  0.139
Pm  0.500  0.046  0.954
Pm  0.839  0.051  0.270
Pm  0.371  0.716  0.542
Tm  0.500  0.397  0.603

=====

A plane-wave DFT calculation with PBE was carried out for an optimized crystal structure of PmTm12Tl3.

Calculated values
Energy of formation (meV per atom): -109

a b c (Å): 4.812 4.812 19.638
angles (deg): 90.00 90.00 90.00
Positions (direct):
Tm  0.000  0.500  0.622
Tm  0.000  0.500  0.378
Tm  0.500  0.000  0.622
Tl  0.000  0.000  0.257
Pm  0.000  0.000  0.000
Tl  0.000  0.000  0.500
Tl  0.000  0.000  0.743
Tm  0.500  0.500  0.744
Tm  0.500  0.500  0.000
Tm  0.500  0.500  0.256
Tm  0.500  0.500  0.500
Tm  0.500  0.000  0.378
Tm  0.000  0.500  0.131
Tm  0.000  0.500  0.869
Tm  0.500  0.000  0.869
Tm  0.500  0.000  0.131

=====

A plane-wave DFT calculation with PBE was carried out for an optimized crystal structure of Pm2Tm2Tl3.

Calculated values
Energy of formation (meV per atom): -221

a b c (Å): 3.521 3.590 16.267
angles (deg): 90.00 83.79 90.00
Positions (direct):
Tl  0.860  0.000  0.280
Tm  0.297  0.500  0.406
Tl  0.140  0.000  0.720
Pm  0.570  0.500  0.860
Tl  0.000  0.000  0.000
Tm  0.703  0.500  0.594
Pm  0.430  0.500  0.140

=====

A plane-wave DFT calculation with PBE was carried out for an optimized crystal structure of Pm7TmTl4.

Calculated values
Energy of formation (meV per atom): -60

a b c (Å): 5.922 9.330 8.105
angles (deg): 69.94 68.57 71.50
Positions (direct):
Pm  0.202  0.119  0.477
Pm  0.500  0.000  0.000
Pm  0.260  0.689  0.791
Pm  0.798  0.881  0.523
Pm  0.934  0.401  0.730
Tm  0.000  0.000  0.000
Pm  0.740  0.311  0.209
Tl  0.547  0.284  0.622
Tl  0.314  0.337  0.035
Tl  0.453  0.716  0.378
Tl  0.686  0.663  0.965
Pm  0.066  0.599  0.270

=====

A plane-wave DFT calculation with PBE was carried out for an optimized crystal structure of Pm4Tm5Tl2.

Calculated values
Energy of formation (meV per atom): 238

a b c (Å): 5.196 5.196 16.312
angles (deg): 80.84 80.84 60.00
Positions (direct):
Tm  0.200  0.200  0.401
Pm  0.723  0.723  0.831
Pm  0.573  0.573  0.281
Pm  0.277  0.277  0.169
Tm  0.351  0.351  0.946
Tl  0.127  0.127  0.618
Tm  0.800  0.800  0.599
Tl  0.873  0.873  0.382
Pm  0.427  0.427  0.719
Tm  0.500  0.500  0.500
Tm  0.649  0.649  0.054

=====

A plane-wave DFT calculation with PBE was carried out for an optimized crystal structure of Pm5TmTl3.

Calculated values
Energy of formation (meV per atom): -263

a b c (Å): 6.858 9.550 9.550
angles (deg): 120.00 90.00 90.00
Positions (direct):
Tl  0.250  0.326  0.000
Pm  0.500  0.333  0.667
Pm  0.000  0.667  0.333
Pm  0.000  0.333  0.667
Tl  0.750  0.000  0.674
Pm  0.250  0.662  0.000
Pm  0.750  0.662  0.662
Tl  0.250  0.000  0.326
Tl  0.750  0.326  0.326
Tm  0.500  0.000  0.000
Pm  0.250  0.000  0.662
Pm  0.750  0.338  0.000
Pm  0.500  0.667  0.333
Tl  0.250  0.674  0.674
Tm  0.000  0.000  0.000
Tl  0.750  0.674  0.000
Pm  0.750  0.000  0.338
Pm  0.250  0.338  0.338

=====

A plane-wave DFT calculation with PBE was carried out for an optimized crystal structure of Pm3TmTl2.

Calculated values
Energy of formation (meV per atom): -229

a b c (Å): 6.673 6.643 9.653
angles (deg): 110.13 110.22 90.00
Positions (direct):
Pm  0.424  0.676  0.353
Pm  0.576  0.324  0.647
Tl  0.109  0.365  0.730
Tl  0.621  0.865  0.730
Pm  0.929  0.176  0.353
Tl  0.379  0.135  0.270
Pm  0.500  0.250  0.000
Tl  0.891  0.635  0.270
Pm  0.500  0.750  0.000
Pm  0.071  0.824  0.647
Tm  0.000  0.750  0.000
Tm  0.000  0.250  0.000

=====

A plane-wave DFT calculation with PBE was carried out for an optimized crystal structure of Pm6Tm2Tl.

Calculated values
Energy of formation (meV per atom): 7

a b c (Å): 3.545 10.378 9.727
angles (deg): 122.24 100.52 90.00
Positions (direct):
Tm  0.157  0.657  0.313
Pm  0.500  0.684  0.000
Pm  0.825  0.989  0.650
Pm  0.175  0.011  0.350
Pm  0.825  0.661  0.650
Pm  0.500  0.316  0.000
Tl  0.000  0.000  0.000
Tm  0.843  0.343  0.687
Pm  0.175  0.339  0.350

=====

A plane-wave DFT calculation with PBE was carried out for an optimized crystal structure of Pm12Tm6Tl.

Calculated values
Energy of formation (meV per atom): 80

a b c (Å): 8.570 8.570 8.570
angles (deg): 88.73 88.73 88.73
Positions (direct):
Tm  0.899  0.284  0.743
Tm  0.101  0.716  0.257
Pm  0.178  0.365  0.016
Pm  0.635  0.984  0.822
Pm  0.431  0.785  0.538
Pm  0.984  0.822  0.635
Tm  0.743  0.899  0.284
Pm  0.016  0.178  0.365
Pm  0.822  0.635  0.984
Tl  0.000  0.000  0.000
Tm  0.716  0.257  0.101
Pm  0.569  0.215  0.462
Tm  0.257  0.101  0.716
Pm  0.785  0.538  0.431
Pm  0.365  0.016  0.178
Pm  0.538  0.431  0.785
Pm  0.215  0.462  0.569
Pm  0.462  0.569  0.215
Tm  0.284  0.743  0.899

=====

A plane-wave DFT calculation with PBE was carried out for an optimized crystal structure of PmTmTl.

Calculated values
Energy of formation (meV per atom): -254

a b c (Å): 5.434 5.432 6.780
angles (deg): 90.00 90.00 120.01
Positions (direct):
Tl  0.333  0.666  0.250
Tm  0.333  0.667  0.750
Tl  0.667  0.334  0.750
Tm  0.667  0.333  0.250
Pm  0.000  0.000  0.000
Pm  0.000  0.000  0.500

=====

A plane-wave DFT calculation with PBE was carried out for an optimized crystal structure of PmTm2Tl9.

Calculated values
Energy of formation (meV per atom): -223

a b c (Å): 4.770 4.770 14.310
angles (deg): 90.00 90.00 90.00
Positions (direct):
Tl  0.000  0.500  0.830
Tl  0.500  0.000  0.500
Tm  0.000  0.000  0.334
Tm  0.000  0.000  0.666
Tl  0.000  0.500  0.500
Tl  0.500  0.500  0.000
Tl  0.000  0.500  0.170
Tl  0.500  0.500  0.335
Tl  0.500  0.500  0.665
Tl  0.500  0.000  0.830
Tl  0.500  0.000  0.170
Pm  0.000  0.000  0.000